! PBE-GGA LaHf4N6, relaxed; values from VASP
! density of states at the Fermi level = 0.121 states/eV per atom
! formation energy from raw total energies = -1.725 eV/atom
&SYSTEM
  ibrav = 0, nat = 22, ntyp = 3
/
ATOMIC_SPECIES
N 14.01 N.upf
La 138.91 La.upf
Hf 178.49 Hf.upf
CELL_PARAMETERS angstrom
-1.3227 -0.3192 -2.9271
2.6704 -4.7817 1.0946
-13.7499 -6.1039 6.8792
ATOMIC_POSITIONS angstrom
N -10.2701 -6.4683 3.5667
N -7.7676 -8.7727 2.6871
N -7.0713 -5.8230 3.8306
N -11.7048 -7.8800 6.1488
N -10.4200 -9.9502 4.0142
N -0.6975 -3.3249 -1.1020
N -2.1321 -4.7366 1.4801
N -4.6346 -2.4321 2.3596
N -5.3310 -5.3818 1.2162
N -0.6614 -0.1596 -1.4635
N -7.5363 -3.2116 1.9761
N -1.9822 -1.2546 1.0326
La -3.4894 -3.1846 0.1443
La -8.9129 -8.0203 4.9024
Hf -0.2585 -4.7343 0.6331
Hf -12.1437 -6.4706 4.4136
Hf -6.6913 -7.1395 2.0226
Hf -12.2923 -9.6259 4.8248
Hf -5.7110 -4.0654 3.0241
Hf -8.9678 -5.0607 2.8247
Hf -0.1100 -1.5790 0.2219
Hf -3.4344 -6.1441 2.2221